[1]
VASP calculation (PBE-GGA) on a relaxed structure of CuTePb2Br.

## Properties
D(E_F) ... 2.9 states/eV/cell
E ... -3.252 eV/atom
ρ ... 7.42 g/cm³
Formation energy from raw total energies ... 0.01 eV/atom

```
data_CuTePb2Br
_chemical_formula_sum 'Cu1 Te1 Pb2 Br1'
_cell_length_a 5.5606
_cell_length_b 5.5606
_cell_length_c 4.9641
_cell_angle_alpha 90.00
_cell_angle_beta 90.00
_cell_angle_gamma 90.00
_symmetry_space_group_name_H-M 'P 4/m m m'
_symmetry_Int_Tables_number 123
_symmetry_space_group_name_Hall '-P 4 2'
loop_
_atom_site_label
_atom_site_fract_x
_atom_site_fract_y
_atom_site_fract_z
_atom_site_occupancy
Cu1 0.0000 0.0000 0.0000 1
Te1 0.0000 0.0000 0.5000 1
Pb1 0.0000 0.5000 0.0000 1
Br1 0.5000 0.5000 0.5000 1
```

[2]
VASP calculation (PBE-GGA) on a relaxed structure of Tl2Cu2PbBr6.

## Properties
E ... -3.052 eV/atom
ρ ... 5.41 g/cm³
Formation energy from raw total energies ... -0.63 eV/atom

```
data_Tl2Cu2PbBr6
_chemical_formula_sum 'Tl4 Cu4 Pb2 Br12'
_cell_length_a 13.5660
_cell_length_b 7.9663
_cell_length_c 8.0629
_cell_angle_alpha 90.00
_cell_angle_beta 120.54
_cell_angle_gamma 90.00
_symmetry_space_group_name_H-M 'C 1 2/m 1'
_symmetry_Int_Tables_number 12
loop_
_symmetry_equiv_pos_as_xyz
'x,y,z'
'-x,-y,-z'
'-x,y,-z'
'x,-y,z'
'x+1/2,y+1/2,z'
'-x+1/2,-y+1/2,-z'
'-x+1/2,y+1/2,-z'
'x+1/2,-y+1/2,z'
loop_
_atom_site_label
_atom_site_fract_x
_atom_site_fract_y
_atom_site_fract_z
_atom_site_occupancy
Tl1 0.2352 0.0000 0.2002 1
Cu1 0.0425 0.5000 0.1937 1
Pb1 0.0000 0.0000 0.5000 1
Br1 0.0650 0.2552 0.8236 1
Br2 0.2463 0.5000 0.3697 1
```

[3]
VASP calculation (PBE-GGA) on a relaxed structure of Tl2CuPbBr6.

## Properties
D(E_F) ... 8.8 states/eV/cell
E ... -2.924 eV/atom
ρ ... 5.94 g/cm³
Formation energy from raw total energies ... -0.67 eV/atom

```
data_Tl2CuPbBr6
_chemical_formula_sum 'Tl4 Cu2 Pb2 Br12'
_cell_length_a 7.5764
_cell_length_b 7.9152
_cell_length_c 13.1794
_cell_angle_alpha 90.00
_cell_angle_beta 124.95
_cell_angle_gamma 90.00
_symmetry_space_group_name_H-M 'P 1 21/c 1'
_symmetry_Int_Tables_number 14
loop_
_symmetry_equiv_pos_as_xyz
'x,y,z'
'-x,-y,-z'
'-x,y+1/2,-z+1/2'
'x,-y+1/2,z+1/2'
loop_
_atom_site_label
_atom_site_fract_x
_atom_site_fract_y
_atom_site_fract_z
_atom_site_occupancy
Tl1 0.2277 0.0725 0.2510 1
Cu1 0.5000 0.0000 0.0000 1
Pb1 0.0000 0.0000 0.5000 1
Br1 0.1785 0.1895 0.9620 1
Br2 0.2706 0.7194 0.9582 1
Br3 0.3496 0.0129 0.7690 1
```

[4]
VASP calculation (PBE-GGA) on a relaxed structure of CuPdBr2.

## Properties
D(E_F) ... 11.4 states/eV/cell
E ... -3.125 eV/atom
Offset from the most stable computed form ... 0.062 eV/atom
ρ ... 4.93 g/cm³
Formation energy from raw total energies ... 0.03 eV/atom

```
data_CuPdBr2
_chemical_formula_sum 'Cu3 Pd3 Br6'
_cell_length_a 4.2205
_cell_length_b 4.2205
_cell_length_c 21.5949
_cell_angle_alpha 90.00
_cell_angle_beta 90.00
_cell_angle_gamma 120.00
_symmetry_space_group_name_H-M 'R -3 m'
_symmetry_Int_Tables_number 166
_symmetry_space_group_name_Hall '-R 3 2"'
loop_
_atom_site_label
_atom_site_fract_x
_atom_site_fract_y
_atom_site_fract_z
_atom_site_occupancy
Cu1 0.0000 0.0000 0.0000 1
Pd1 0.0000 0.0000 0.5000 1
Br1 0.0000 0.0000 0.1043 1
```

[5]
VASP calculation (PBE-GGA) on a relaxed structure of CuPdBr5.

## Properties
D(E_F) ... 18.2 states/eV/cell
E ... -2.758 eV/atom
ρ ... 4.63 g/cm³
Formation energy from raw total energies ... -0.24 eV/atom

```
data_CuPdBr5
_chemical_formula_sum 'Cu4 Pd4 Br20'
_cell_length_a 9.9657
_cell_length_b 9.0527
_cell_length_c 9.9432
_cell_angle_alpha 90.00
_cell_angle_beta 114.38
_cell_angle_gamma 90.00
_symmetry_space_group_name_H-M 'C 1 2/c 1'
_symmetry_Int_Tables_number 15
loop_
_symmetry_equiv_pos_as_xyz
'x,y,z'
'-x,-y,-z'
'-x,y,-z+1/2'
'x,-y,z+1/2'
'x+1/2,y+1/2,z'
'-x+1/2,-y+1/2,-z'
'-x+1/2,y+1/2,-z+1/2'
'x+1/2,-y+1/2,z+1/2'
loop_
_atom_site_label
_atom_site_fract_x
_atom_site_fract_y
_atom_site_fract_z
_atom_site_occupancy
Cu1 0.0000 0.0430 0.2500 1
Pd1 0.2500 0.2500 0.0000 1
Br1 0.0000 0.2325 0.7500 1
Br2 0.0994 0.2600 0.1503 1
Br3 0.2247 0.0238 0.4767 1
```

[6]
VASP calculation (PBE-GGA) on a relaxed structure of Cu3PdBr.

## Properties
D(E_F) ... 1.1 states/eV/cell
E ... -3.079 eV/atom
Offset from the most stable computed form ... 0.000 eV/atom
ρ ... 5.88 g/cm³
Formation energy from raw total energies ... 0.75 eV/atom

```
data_Cu3PdBr
_chemical_formula_sum 'Cu3 Pd1 Br1'
_cell_length_a 4.7395
_cell_length_b 4.7395
_cell_length_c 4.7395
_cell_angle_alpha 90.00
_cell_angle_beta 90.00
_cell_angle_gamma 90.00
_symmetry_space_group_name_H-M 'P m -3 m'
_symmetry_Int_Tables_number 221
_symmetry_space_group_name_Hall '-P 4 2 3'
loop_
_atom_site_label
_atom_site_fract_x
_atom_site_fract_y
_atom_site_fract_z
_atom_site_occupancy
Cu1 0.0000 0.0000 0.5000 1
Pd1 0.0000 0.0000 0.0000 1
Br1 0.5000 0.5000 0.5000 1
```

[7]
VASP calculation (PBE-GGA) on a relaxed structure of CuPdBr3.

## Properties
D(E_F) ... 31.6 states/eV/cell
E ... -3.021 eV/atom
Offset from the most stable computed form ... 0.091 eV/atom
ρ ... 5.88 g/cm³
Formation energy from raw total energies ... -0.16 eV/atom

```
data_CuPdBr3
_chemical_formula_sum 'Cu6 Pd6 Br18'
_cell_length_a 6.6555
_cell_length_b 6.6555
_cell_length_c 18.0955
_cell_angle_alpha 90.00
_cell_angle_beta 90.00
_cell_angle_gamma 120.00
_symmetry_space_group_name_H-M 'R -3'
_symmetry_Int_Tables_number 148
_symmetry_space_group_name_Hall '-R 3'
loop_
_atom_site_label
_atom_site_fract_x
_atom_site_fract_y
_atom_site_fract_z
_atom_site_occupancy
Cu1 0.0000 0.0000 0.1615 1
Pd1 0.0000 0.0000 0.3388 1
Br1 0.0049 0.3255 0.7520 1
```

[8]
VASP calculation (PBE-GGA) on a relaxed structure of Cu5PdBr12.

## Properties
D(E_F) ... 34.5 states/eV/cell
E ... -2.828 eV/atom
ρ ... 3.98 g/cm³
Formation energy from raw total energies ... -0.29 eV/atom

```
data_Cu5PdBr12
_chemical_formula_sum 'Cu10 Pd2 Br24'
_cell_length_a 8.2099
_cell_length_b 10.5413
_cell_length_c 13.3462
_cell_angle_alpha 90.00
_cell_angle_beta 91.24
_cell_angle_gamma 90.00
_symmetry_space_group_name_H-M 'C 1 2/m 1'
_symmetry_Int_Tables_number 12
loop_
_symmetry_equiv_pos_as_xyz
'x,y,z'
'-x,-y,-z'
'-x,y,-z'
'x,-y,z'
'x+1/2,y+1/2,z'
'-x+1/2,-y+1/2,-z'
'-x+1/2,y+1/2,-z'
'x+1/2,-y+1/2,z'
loop_
_atom_site_label
_atom_site_fract_x
_atom_site_fract_y
_atom_site_fract_z
_atom_site_occupancy
Cu1 0.0000 0.0000 0.0000 1
Cu2 0.0000 0.1654 0.5000 1
Cu3 0.0000 0.3334 0.0000 1
Pd1 0.0000 0.5000 0.5000 1
Br1 0.0680 0.0000 0.6188 1
Br2 0.0904 0.5000 0.8892 1
Br3 0.0908 0.1667 0.8893 1
Br4 0.1021 0.3303 0.6108 1
```

[9]
VASP calculation (PBE-GGA) on a relaxed structure of Cu2PdBr6.

## Properties
D(E_F) ... 22.8 states/eV/cell
E ... -2.849 eV/atom
Offset from the most stable computed form ... 0.000 eV/atom
ρ ... 4.89 g/cm³
Formation energy from raw total energies ... -0.25 eV/atom

```
data_Cu2PdBr6
_chemical_formula_sum 'Cu8 Pd4 Br24'
_cell_length_a 12.5082
_cell_length_b 11.4905
_cell_length_c 6.8131
_cell_angle_alpha 90.00
_cell_angle_beta 98.32
_cell_angle_gamma 90.00
_symmetry_space_group_name_H-M 'C 1 2/c 1'
_symmetry_Int_Tables_number 15
loop_
_symmetry_equiv_pos_as_xyz
'x,y,z'
'-x,-y,-z'
'-x,y,-z+1/2'
'x,-y,z+1/2'
'x+1/2,y+1/2,z'
'-x+1/2,-y+1/2,-z'
'-x+1/2,y+1/2,-z+1/2'
'x+1/2,-y+1/2,z+1/2'
loop_
_atom_site_label
_atom_site_fract_x
_atom_site_fract_y
_atom_site_fract_z
_atom_site_occupancy
Cu1 0.1710 0.0943 0.3216 1
Pd1 0.0000 0.4102 0.2500 1
Br1 0.1140 0.2521 0.1144 1
Br2 0.1175 0.4317 0.5977 1
Br3 0.1364 0.0858 0.6536 1
```

[10]
VASP calculation (PBE-GGA) on a relaxed structure of Cu3PdBr.

## Properties
D(E_F) ... 1.4 states/eV/cell
E ... -2.883 eV/atom
Offset from the most stable computed form ... 0.196 eV/atom
ρ ... 6.51 g/cm³
Formation energy from raw total energies ... 0.95 eV/atom

```
data_Cu3PdBr
_chemical_formula_sum 'Cu3 Pd1 Br1'
_cell_length_a 4.5804
_cell_length_b 4.5804
_cell_length_c 4.5804
_cell_angle_alpha 90.00
_cell_angle_beta 90.00
_cell_angle_gamma 90.00
_symmetry_space_group_name_H-M 'P m -3 m'
_symmetry_Int_Tables_number 221
_symmetry_space_group_name_Hall '-P 4 2 3'
loop_
_atom_site_label
_atom_site_fract_x
_atom_site_fract_y
_atom_site_fract_z
_atom_site_occupancy
Cu1 0.0000 0.0000 0.5000 1
Pd1 0.5000 0.5000 0.5000 1
Br1 0.0000 0.0000 0.0000 1
```

- What is the formula in the fifth record?
  CuPdBr5

- Which formula does entry 5 have?
  CuPdBr5

Please write out number 9 again, unchanged.
VASP calculation (PBE-GGA) on a relaxed structure of Cu2PdBr6.

## Properties
D(E_F) ... 22.8 states/eV/cell
E ... -2.849 eV/atom
Offset from the most stable computed form ... 0.000 eV/atom
ρ ... 4.89 g/cm³
Formation energy from raw total energies ... -0.25 eV/atom

```
data_Cu2PdBr6
_chemical_formula_sum 'Cu8 Pd4 Br24'
_cell_length_a 12.5082
_cell_length_b 11.4905
_cell_length_c 6.8131
_cell_angle_alpha 90.00
_cell_angle_beta 98.32
_cell_angle_gamma 90.00
_symmetry_space_group_name_H-M 'C 1 2/c 1'
_symmetry_Int_Tables_number 15
loop_
_symmetry_equiv_pos_as_xyz
'x,y,z'
'-x,-y,-z'
'-x,y,-z+1/2'
'x,-y,z+1/2'
'x+1/2,y+1/2,z'
'-x+1/2,-y+1/2,-z'
'-x+1/2,y+1/2,-z+1/2'
'x+1/2,-y+1/2,z+1/2'
loop_
_atom_site_label
_atom_site_fract_x
_atom_site_fract_y
_atom_site_fract_z
_atom_site_occupancy
Cu1 0.1710 0.0943 0.3216 1
Pd1 0.0000 0.4102 0.2500 1
Br1 0.1140 0.2521 0.1144 1
Br2 0.1175 0.4317 0.5977 1
Br3 0.1364 0.0858 0.6536 1
```